Entry 1:
ZrAgSe2: optimized geometry, PBE.

Properties
Total energy in eV per atom: -5.1682

Unit cell a=7.227 b=7.227 c=7.227 alpha=128.66 beta=128.66 gamma=75.55
Last column: magnetic moment on the atom in μB.
Element x y z (fractional)
Ag  0.000  0.000  0.000  0.01
Ag  0.750  0.250  0.500  0.01
Se  0.131  0.625  0.006  -0.02
Se  0.875  0.869  0.494  -0.01
Se  0.375  0.381  0.506  -0.01
Se  0.619  0.125  0.994  -0.02
Zr  0.500  0.500  0.000  0.56
Zr  0.250  0.750  0.500  0.56

***

Entry 2:
RbNpAgSe3: optimized geometry, PBE.

Properties
Total energy in eV per atom: -5.5197

Unit cell a=7.934 b=7.934 c=10.803 alpha=90.00 beta=90.00 gamma=149.08
Last column: magnetic moment on the atom in μB.
Element x y z (fractional)
Ag  0.544  0.456  0.250  -0.04
Ag  0.456  0.544  0.750  -0.04
Np  0.000  0.000  0.000  3.41
Np  0.000  0.000  0.500  3.40
Rb  0.255  0.745  0.250  0.00
Rb  0.745  0.255  0.750  0.00
Se  0.623  0.377  0.037  -0.11
Se  0.938  0.062  0.250  -0.11
Se  0.623  0.377  0.463  -0.11
Se  0.377  0.623  0.537  -0.11
Se  0.062  0.938  0.750  -0.11
Se  0.377  0.623  0.963  -0.11

***

Entry 3:
RbSnTe4Au3: optimized geometry, PBE.

Properties
Total energy in eV per atom: -3.2933
Polymorph energy (0 for the lowest one) in meV per atom: 0

Unit cell a=6.544 b=8.544 c=11.161 alpha=90.00 beta=101.12 gamma=90.00
Element x y z (fractional)
Au  0.502  0.250  0.202
Au  0.657  0.062  0.442
Au  0.657  0.438  0.442
Au  0.343  0.562  0.558
Au  0.343  0.938  0.558
Au  0.498  0.750  0.798
Rb  0.778  0.750  0.125
Rb  0.222  0.250  0.875
Sn  0.115  0.250  0.274
Sn  0.885  0.750  0.726
Te  0.803  0.250  0.068
Te  0.346  0.545  0.269
Te  0.346  0.955  0.269
Te  0.013  0.750  0.497
Te  0.987  0.250  0.503
Te  0.654  0.045  0.731
Te  0.654  0.455  0.731
Te  0.197  0.750  0.932

***

Entry 4:
NaNbF3: optimized geometry, PBE.

Properties
Total energy in eV per atom: -5.5649
Polymorph energy (0 for the lowest one) in meV per atom: 0

Unit cell a=5.954 b=7.611 c=5.720 alpha=90.00 beta=90.00 gamma=90.00
Last column: magnetic moment on the atom in μB.
Element x y z (fractional)
F  0.330  0.046  0.163  0.04
F  0.330  0.454  0.163  0.04
F  0.093  0.750  0.164  0.04
F  0.593  0.750  0.336  0.04
F  0.830  0.046  0.337  0.04
F  0.830  0.454  0.337  0.04
F  0.170  0.546  0.663  0.04
F  0.170  0.954  0.663  0.04
F  0.407  0.250  0.664  0.04
F  0.907  0.250  0.836  0.04
F  0.670  0.546  0.837  0.04
F  0.670  0.954  0.837  0.04
Na  0.559  0.250  0.014  0.01
Na  0.059  0.250  0.486  0.01
Na  0.941  0.750  0.514  0.01
Na  0.441  0.750  0.986  0.01
Nb  0.000  0.000  0.000  2.41
Nb  0.000  0.500  0.000  2.40
Nb  0.500  0.000  0.500  2.41
Nb  0.500  0.500  0.500  2.41